Compound: ErAs2Pd4
Source: Alexandria via LeMat-Bulk
Functional: PBE-GGA
Structure: relaxed

```
ErAs2Pd4
1.0
4.075 0.000 0.000
0.000 7.727 0.000
0.000 0.000 7.727
Er As Pd
2 4 8
Direct
0.500 0.000 0.000 Er
0.000 0.500 0.500 Er
0.000 0.778 0.222 As
0.500 0.722 0.722 As
0.000 0.222 0.778 As
0.500 0.278 0.278 As
0.500 0.164 0.585 Pd
0.500 0.415 0.836 Pd
0.000 0.664 0.915 Pd
0.000 0.085 0.336 Pd
0.000 0.915 0.664 Pd
0.500 0.836 0.415 Pd
0.000 0.336 0.085 Pd
0.500 0.585 0.164 Pd
```

Properties
Offset from the most stable computed form, meV per atom: 0
Density, kg/m3: 10138
Formation energy from the elements, meV/atom: -704

---

Compound: FeRu2
Source: Alexandria via LeMat-Bulk
Functional: PBE-GGA
Structure: relaxed

```
FeRu2
1.0
-4.302 2.135 -1.526
-0.932 0.552 -4.922
-3.565 -7.283 -0.142
Fe Ru
4 8
Direct
0.667 0.667 0.079 Fe
0.667 0.667 0.421 Fe
0.333 0.333 0.579 Fe
0.333 0.333 0.921 Fe
0.000 0.000 0.500 Ru
0.825 0.350 0.750 Ru
0.650 0.175 0.250 Ru
0.350 0.825 0.750 Ru
0.000 0.000 0.000 Ru
0.825 0.825 0.750 Ru
0.175 0.175 0.250 Ru
0.175 0.650 0.250 Ru
```

Properties
Density, kg/m3: 9606
Formation energy from the elements, meV/atom: 519

---

Compound: Cs2Pb2Au3
Source: Alexandria via LeMat-Bulk
Functional: PBE-GGA
Structure: relaxed

```
Cs2Pb2Au3
1.0
4.971 0.000 0.000
0.000 7.559 0.517
-2.486 -1.555 6.554
Cs Au Pb
2 3 2
Direct
0.642 0.845 0.283 Cs
0.358 0.155 0.717 Cs
0.699 0.422 0.399 Au
0.000 0.000 0.000 Au
0.301 0.578 0.601 Au
0.088 0.372 0.175 Pb
0.912 0.628 0.825 Pb
```

Properties
Offset from the most stable computed form, meV per atom: 0
Density, kg/m3: 8433
Formation energy from the elements, meV/atom: -238

---

Compound: HfNp2ScSb4
Source: Alexandria via LeMat-Bulk
Functional: PBE-GGA
Structure: relaxed

```
HfNp2ScSb4
1.0
-0.726 2.925 2.995
-6.921 0.768 -2.428
0.198 -5.270 5.196
Sb Sc Hf Np
4 1 1 2
Direct
0.000 0.255 0.768 Sb
0.500 0.243 0.231 Sb
0.000 0.745 0.232 Sb
0.500 0.757 0.769 Sb
0.500 0.500 0.000 Sc
0.000 0.000 0.000 Hf
0.000 0.500 0.500 Np
0.500 0.000 0.500 Np
```

Properties
Density, kg/m3: 8983
Formation energy without anion corrections, eV per atom: -0.4515

---

Compound: BaUS3Cl
Source: Alexandria via LeMat-Bulk
Functional: PBE-GGA
Structure: relaxed

```
BaUS3Cl
1.0
5.707 1.156 0.000
2.407 6.869 0.000
1.203 3.434 9.910
U S Cl Ba
2 6 2 2
Direct
0.750 0.063 0.873 U
0.250 0.937 0.127 U
0.456 0.183 0.086 S
0.956 0.269 0.914 S
0.750 0.191 0.618 S
0.544 0.817 0.914 S
0.044 0.731 0.086 S
0.250 0.809 0.382 S
0.250 0.615 0.770 Cl
0.750 0.385 0.230 Cl
0.750 0.672 0.656 Ba
0.250 0.328 0.344 Ba
```

Properties
Density, kg/m3: 4665
Formation energy without anion corrections, eV per atom: -1.3862

---

Compound: AlCoCl
Source: Alexandria via LeMat-Bulk
Functional: PBE-GGA
Structure: relaxed

```
AlCoCl
1.0
-1.831 -4.058 -3.523
2.245 -4.521 -2.600
-0.717 3.088 4.710
Al Cl Co
1 1 1
Direct
0.035 0.035 0.000 Al
0.315 0.315 0.000 Cl
0.650 0.650 0.000 Co
```

Properties
Offset from the most stable computed form, meV per atom: 135
Density, kg/m3: 4323
Formation energy without anion corrections, eV per atom: 0.0377